1.
# SbTe2PbBr, PBEsol geometry, DFT SCAN
# Total energy in eV/atom: -40.69
# Total moment in μB per formula unit: 0.0
# DOS(E_F) in states/eV/f.u.: 6.1
data_SbTe2PbBr
_cell_length_a 5.694
_cell_length_b 5.694
_cell_length_c 5.845
_cell_angle_alpha 90.00
_cell_angle_beta 90.00
_cell_angle_gamma 90.00
_symmetry_space_group_name_H-M 'P 1'
_symmetry_Int_Tables_number 1
_symmetry_space_group_name_Hall 'P 1'
loop_
_atom_site_label
_atom_site_fract_x
_atom_site_fract_y
_atom_site_fract_z
Sb1 0.000 0.000 0.500
Pb1 0.000 0.000 0.000
Br1 0.500 0.500 0.500
Te1 0.500 0.000 0.000
Te2 0.000 0.500 0.000

2.
# ScPb2Br, PBEsol geometry, DFT SCAN
# Total energy in eV/atom: -46.81
# Energy relative to the lowest polymorph listed for this composition in meV/atom: 0
# Total moment in μB per formula unit: 0.0
# DOS(E_F) in states/eV/f.u.: 3.4
data_ScPb2Br
_cell_length_a 3.353
_cell_length_b 5.603
_cell_length_c 6.415
_cell_angle_alpha 115.89
_cell_angle_beta 105.15
_cell_angle_gamma 90.00
_symmetry_space_group_name_H-M 'P 1'
_symmetry_Int_Tables_number 1
_symmetry_space_group_name_Hall 'P 1'
loop_
_atom_site_label
_atom_site_fract_x
_atom_site_fract_y
_atom_site_fract_z
Pb1 0.999 0.999 0.997
Pb2 0.775 0.275 0.550
Sc1 0.518 0.518 0.036
Br1 0.208 0.708 0.417

What did the second record say?
# ScPb2Br, PBEsol geometry, DFT SCAN
# Total energy in eV/atom: -46.81
# Energy relative to the lowest polymorph listed for this composition in meV/atom: 0
# Total moment in μB per formula unit: 0.0
# DOS(E_F) in states/eV/f.u.: 3.4
data_ScPb2Br
_cell_length_a 3.353
_cell_length_b 5.603
_cell_length_c 6.415
_cell_angle_alpha 115.89
_cell_angle_beta 105.15
_cell_angle_gamma 90.00
_symmetry_space_group_name_H-M 'P 1'
_symmetry_Int_Tables_number 1
_symmetry_space_group_name_Hall 'P 1'
loop_
_atom_site_label
_atom_site_fract_x
_atom_site_fract_y
_atom_site_fract_z
Pb1 0.999 0.999 0.997
Pb2 0.775 0.275 0.550
Sc1 0.518 0.518 0.036
Br1 0.208 0.708 0.417

Q: Among the records above, which one has the highest total energy?
A: SbTe2PbBr